Entry 1:
VASP calculation (GGA-PBE) on a relaxed structure of IrOs2.

Computed properties:
Energy of formation = 0.072 eV per atom
Distance to the lowest polymorph of the same formula = 74.0 meV/atom

Cell and atoms, written as CIF:
```
data_IrOs2
_cell_length_a 7.7141
_cell_length_b 2.7310
_cell_length_c 8.1970
_cell_angle_alpha 90.00
_cell_angle_beta 90.04
_cell_angle_gamma 90.00
_symmetry_space_group_name_H-M 'P 1 21/m 1'
_symmetry_Int_Tables_number 11
_symmetry_space_group_name_Hall '-P 2yb'
loop_
_atom_site_label
_atom_site_type_symbol
_atom_site_fract_x
_atom_site_fract_y
_atom_site_fract_z
_atom_site_occupancy
Ir1 Ir 0.1273 0.2500 0.2477 1
Ir2 Ir 0.1297 0.2500 0.5849 1
Os1 Os 0.1261 0.2500 0.9171 1
Os2 Os 0.3748 0.7500 0.0814 1
Os3 Os 0.3756 0.7500 0.7511 1
Os4 Os 0.3765 0.7500 0.4175 1
```


Entry 2:
VASP calculation (GGA-PBE) on a relaxed structure of IrOs8.

Computed properties:
Energy of formation = 0.108 eV per atom

Cell and atoms, written as CIF:
```
data_IrOs8
_cell_length_a 8.1888
_cell_length_b 8.1888
_cell_length_c 3.8513
_cell_angle_alpha 90.00
_cell_angle_beta 90.00
_cell_angle_gamma 90.00
_symmetry_space_group_name_H-M 'I 4/m m m'
_symmetry_Int_Tables_number 139
_symmetry_space_group_name_Hall '-I 4 2'
loop_
_atom_site_label
_atom_site_type_symbol
_atom_site_fract_x
_atom_site_fract_y
_atom_site_fract_z
_atom_site_occupancy
Ir1 Ir 0.0000 0.0000 0.0000 1
Os1 Os 0.0000 0.3342 0.0000 1
Os2 Os 0.1680 0.1680 0.5000 1
```


Entry 3:
VASP calculation (GGA-PBE) on a relaxed structure of Ir5Os2.

Computed properties:
Energy of formation = 0.245 eV per atom

Cell and atoms, written as CIF:
```
data_Ir5Os2
_cell_length_a 8.9120
_cell_length_b 8.9120
_cell_length_c 2.6961
_cell_angle_alpha 90.00
_cell_angle_beta 90.00
_cell_angle_gamma 90.00
_symmetry_space_group_name_H-M 'P 4/m b m'
_symmetry_Int_Tables_number 127
_symmetry_space_group_name_Hall '-P 4 2ab'
loop_
_atom_site_label
_atom_site_type_symbol
_atom_site_fract_x
_atom_site_fract_y
_atom_site_fract_z
_atom_site_occupancy
Ir1 Ir 0.0000 0.5000 0.0000 1
Ir2 Ir 0.0531 0.2025 0.0000 1
Os1 Os 0.1848 0.6848 0.5000 1
```


Entry 4:
VASP calculation (GGA-PBE) on a relaxed structure of IrOs.

Computed properties:
Energy of formation = 1.414 eV per atom

Cell and atoms, written as CIF:
```
data_IrOs
_cell_length_a 6.8254
_cell_length_b 6.8254
_cell_length_c 6.8254
_cell_angle_alpha 90.00
_cell_angle_beta 90.00
_cell_angle_gamma 90.00
_symmetry_space_group_name_H-M 'P m -3 n'
_symmetry_Int_Tables_number 223
_symmetry_space_group_name_Hall '-P 4n 2 3'
loop_
_atom_site_label
_atom_site_type_symbol
_atom_site_fract_x
_atom_site_fract_y
_atom_site_fract_z
_atom_site_occupancy
Ir1 Ir 0.0000 0.2500 0.5000 1
Os1 Os 0.0000 0.5000 0.2500 1
```


Entry 5:
VASP calculation (GGA-PBE) on a relaxed structure of IrOs2.

Computed properties:
Energy of formation = 1.192 eV per atom
Distance to the lowest polymorph of the same formula = 1194.0 meV/atom

Cell and atoms, written as CIF:
```
data_IrOs2
_cell_length_a 4.4520
_cell_length_b 4.4520
_cell_length_c 2.6717
_cell_angle_alpha 90.00
_cell_angle_beta 90.00
_cell_angle_gamma 90.00
_symmetry_space_group_name_H-M 'P 4/m m m'
_symmetry_Int_Tables_number 123
_symmetry_space_group_name_Hall '-P 4 2'
loop_
_atom_site_label
_atom_site_type_symbol
_atom_site_fract_x
_atom_site_fract_y
_atom_site_fract_z
_atom_site_occupancy
Ir1 Ir 0.0000 0.0000 0.0000 1
Os1 Os 0.0000 0.5000 0.5000 1
```


Entry 6:
VASP calculation (GGA-PBE) on a relaxed structure of Ir2Os.

Computed properties:
Energy of formation = 0.992 eV per atom
Distance to the lowest polymorph of the same formula = 994.6 meV/atom

Cell and atoms, written as CIF:
```
data_Ir2Os
_cell_length_a 6.0076
_cell_length_b 6.0076
_cell_length_c 6.0076
_cell_angle_alpha 90.00
_cell_angle_beta 90.00
_cell_angle_gamma 90.00
_symmetry_space_group_name_H-M 'P a -3'
_symmetry_Int_Tables_number 205
_symmetry_space_group_name_Hall '-P 2ac 2ab 3'
loop_
_atom_site_label
_atom_site_type_symbol
_atom_site_fract_x
_atom_site_fract_y
_atom_site_fract_z
_atom_site_occupancy
Ir1 Ir 0.1145 0.1145 0.1145 1
Os1 Os 0.0000 0.0000 0.5000 1
```


Entry 7:
VASP calculation (GGA-PBE) on a relaxed structure of Ir2Os.

Computed properties:
Energy of formation = 0.042 eV per atom
Distance to the lowest polymorph of the same formula = 44.4 meV/atom

Cell and atoms, written as CIF:
```
data_Ir2Os
_cell_length_a 10.0183
_cell_length_b 2.7566
_cell_length_c 6.4882
_cell_angle_alpha 90.00
_cell_angle_beta 104.28
_cell_angle_gamma 90.00
_symmetry_space_group_name_H-M 'C 1 m 1'
_symmetry_Int_Tables_number 8
_symmetry_space_group_name_Hall 'C -2y'
loop_
_atom_site_label
_atom_site_type_symbol
_atom_site_fract_x
_atom_site_fract_y
_atom_site_fract_z
_atom_site_occupancy
Ir1 Ir 0.0000 0.0000 0.0000 1
Ir2 Ir 0.0547 0.0000 0.6088 1
Ir3 Ir 0.1675 0.5000 0.3310 1
Ir4 Ir 0.3313 0.0000 0.6674 1
Os1 Os 0.2245 0.5000 0.9481 1
Os2 Os 0.3862 0.0000 0.2737 1
```